# PuMgMn2O6 (PBE+U, relaxed)
data_PuMgMn2O6
_cell_length_a 5.3175
_cell_length_b 5.3226
_cell_length_c 5.6866
_cell_angle_alpha 89.71
_cell_angle_beta 62.61
_cell_angle_gamma 60.08
_space_group_name_H-M_alt 'P 1'
_space_group_IT_number 1
_space_group_name_Hall 'P 1'
loop_
_atom_site_label
_atom_site_fract_x
_atom_site_fract_y
_atom_site_fract_z
Pu1 0.0000 0.0000 0.0000
Mg1 0.9756 0.5102 0.5312
Mn1 0.3698 0.3072 0.9321
Mn2 0.4152 0.7916 0.3776
O1 0.1961 0.6909 0.2053
O2 0.2009 0.5753 0.7256
O3 0.4807 0.1135 0.2003
O4 0.4948 0.9190 0.7163
O5 0.8600 0.2109 0.7235
O6 0.9009 0.4048 0.2088
# VASP energy ... -81.48 eV/cell
# Total magnetic moment ... 10.00 μB/f.u.